[1]
# Ho2TiC | the Alexandria database | GGA-PBE | optimized geometry
# Energy of formation in eV per atom: 0.20
# Calculated density in g cm⁻³: 7.1
# Magnetization in μB/cell: 6.012
# Calculated total energy in eV per cell: -76.46
# Crystal system: trigonal
data_Ho2TiC
_symmetry_space_group_name_H-M 'R -3 m'
_symmetry_Int_Tables_number 166
_symmetry_space_group_name_Hall '-R 3 2"'
_cell_length_a 3.4367
_cell_length_b 3.4367
_cell_length_c 26.6888
_cell_angle_alpha 90.00
_cell_angle_beta 90.00
_cell_angle_gamma 120.00
loop_
_atom_site_label
_atom_site_fract_x
_atom_site_fract_y
_atom_site_fract_z
Ho1 0.0000 0.0000 0.1157
Ti1 0.0000 0.0000 0.0000
C1 0.0000 0.0000 0.5000



[2]
# SmTl2Pt | the Alexandria database | GGA-PBE | optimized geometry
# Energy of formation in eV per atom: 0.13
# Calculated density in g cm⁻³: 10.8
# Magnetization in μB/cell: 0.000
# Calculated total energy in eV per cell: -44.95
# Crystal system: trigonal
data_SmTl2Pt
_symmetry_space_group_name_H-M 'R -3 m'
_symmetry_Int_Tables_number 166
_symmetry_space_group_name_Hall '-R 3 2"'
_cell_length_a 3.6293
_cell_length_b 3.6293
_cell_length_c 30.4444
_cell_angle_alpha 90.00
_cell_angle_beta 90.00
_cell_angle_gamma 120.00
loop_
_atom_site_label
_atom_site_fract_x
_atom_site_fract_y
_atom_site_fract_z
Sm1 0.0000 0.0000 0.0000
Tl1 0.0000 0.0000 0.1042
Pt1 0.0000 0.0000 0.5000



[3]
# Ce2ScAl2Ru5 | the Alexandria database | GGA-PBE | optimized geometry
# Energy of formation in eV per atom: -0.43
# Calculated density in g cm⁻³: 8.4
# Magnetization in μB/cell: 0.000
# Calculated total energy in eV per cell: -152.71
# Crystal system: tetragonal
data_Ce2ScAl2Ru5
_symmetry_space_group_name_H-M 'P 4/m b m'
_symmetry_Int_Tables_number 127
_symmetry_space_group_name_Hall '-P 4 2ab'
_cell_length_a 10.173
_cell_length_b 10.173
_cell_length_c 3.369
_cell_angle_alpha 90.00
_cell_angle_beta 90.00
_cell_angle_gamma 90.00
loop_
_atom_site_label
_atom_site_fract_x
_atom_site_fract_y
_atom_site_fract_z
Ce1 0.174 0.326 0.000
Sc1 0.000 0.000 0.000
Al1 0.125 0.625 0.000
Ru1 0.000 0.500 0.500
Ru2 0.074 0.795 0.500



[4]
# Tb2Pm6Er3Tm | the Alexandria database | GGA-PBE | optimized geometry
# Energy of formation in eV per atom: 0.01
# Calculated density in g cm⁻³: 7.9
# Magnetization in μB/cell: 0.000
# Calculated total energy in eV per cell: -111.53
# Crystal system: monoclinic
data_Tb2Pm6Er3Tm
_symmetry_space_group_name_H-M 'C 1 2/m 1'
_symmetry_Int_Tables_number 12
_symmetry_space_group_name_Hall '-C 2y'
_cell_length_a 6.224
_cell_length_b 10.779
_cell_length_c 11.787
_cell_angle_alpha 90.00
_cell_angle_beta 100.10
_cell_angle_gamma 90.00
loop_
_atom_site_label
_atom_site_fract_x
_atom_site_fract_y
_atom_site_fract_z
Tb1 0.000 0.167 0.000
Pm1 0.249 0.500 0.749
Pm2 0.250 0.166 0.749
Er1 0.000 0.000 0.500
Er2 0.000 0.333 0.500
Tm1 0.000 0.500 0.000



[5]
# Tb12Pm5Tl2 | the Alexandria database | GGA-PBE | optimized geometry
# Energy of formation in eV per atom: 0.01
# Calculated density in g cm⁻³: 8.2
# Magnetization in μB/cell: 0.000
# Calculated total energy in eV per cell: -167.60
# Crystal system: monoclinic
data_Tb12Pm5Tl2
_symmetry_space_group_name_H-M 'C 1 2/m 1'
_symmetry_Int_Tables_number 12
_symmetry_space_group_name_Hall '-C 2y'
_cell_length_a 15.487
_cell_length_b 9.393
_cell_length_c 8.425
_cell_angle_alpha 90.00
_cell_angle_beta 92.46
_cell_angle_gamma 90.00
loop_
_atom_site_label
_atom_site_fract_x
_atom_site_fract_y
_atom_site_fract_z
Tb1 0.054 0.000 0.322
Tb2 0.081 0.500 0.882
Tb3 0.125 0.193 0.662
Tb4 0.147 0.316 0.236
Pm1 0.000 0.500 0.500
Pm2 0.190 0.000 0.007
Pm3 0.233 0.500 0.581
Tl1 0.000 0.185 0.000



[6]
# CaAc3Hg | the Alexandria database | GGA-PBE | optimized geometry
# Energy of formation in eV per atom: -0.06
# Calculated density in g cm⁻³: 7.2
# Magnetization in μB/cell: 0.000
# Calculated total energy in eV per cell: -59.77
# Crystal system: monoclinic
data_CaAc3Hg
_symmetry_space_group_name_H-M 'C 1 2/m 1'
_symmetry_Int_Tables_number 12
_symmetry_space_group_name_Hall '-C 2y'
_cell_length_a 12.678
_cell_length_b 9.462
_cell_length_c 8.545
_cell_angle_alpha 90.00
_cell_angle_beta 123.53
_cell_angle_gamma 90.00
loop_
_atom_site_label
_atom_site_fract_x
_atom_site_fract_y
_atom_site_fract_z
Ca1 0.072 0.000 0.255
Ac1 0.040 0.500 0.305
Ac2 0.190 0.207 0.704
Hg1 0.223 0.000 0.052